(1)
A relaxed structure of ThAlGa3, computed with PBE.

Geometry as POSCAR:
```
ThAlGa3
1.0
-1.2026 4.3832 1.3771
-0.8404 -1.5626 4.4053
4.4982 0.9000 1.2291
Th Al Ga
1 1 3
Direct
0.8800 0.8800 0.8800
0.5047 0.5047 0.5047
0.3717 0.3717 0.9838
0.3717 0.9838 0.3717
0.9838 0.3717 0.3717
```

Properties
Energy relative to the elements: -0.174 eV/atom
Calculated total energy: -4.223 eV/atom

***

(2)
A relaxed structure of Th3AlGa3, computed with PBE.

Geometry as POSCAR:
```
Th3AlGa3
1.0
4.3427 0.0000 0.6542
2.1306 5.6537 0.5978
0.1255 0.2280 13.9083
Th Al Ga
6 2 6
Direct
0.5160 0.3472 0.6208
0.4840 0.6528 0.3792
0.2605 0.2527 0.2264
0.7395 0.7473 0.7736
0.3897 0.2981 0.9224
0.6103 0.7019 0.0776
0.7693 0.0726 0.3888
0.2307 0.9274 0.6112
0.8585 0.7379 0.5450
0.1415 0.2621 0.4550
0.1059 0.8633 0.9249
0.8941 0.1367 0.0751
0.9752 0.8210 0.2285
0.0248 0.1790 0.7715
```

Properties
Energy relative to the elements: -0.518 eV/atom
Calculated total energy: -5.530 eV/atom

***

(3)
A relaxed structure of ThAlGa2, computed with PBE.

Geometry as POSCAR:
```
ThAlGa2
1.0
-4.3721 0.4566 1.3312
1.6019 -0.9336 5.5815
0.8749 6.1231 0.7731
Th Al Ga
2 2 4
Direct
0.5000 0.8832 0.0000
0.0000 0.1168 0.5000
0.5000 0.7239 0.5000
0.0000 0.2761 0.0000
0.0000 0.6393 0.7239
0.5000 0.3607 0.7761
0.0000 0.6393 0.2761
0.5000 0.3607 0.2239
```

Properties
Energy relative to the elements: -0.418 eV/atom
Calculated total energy: -4.722 eV/atom

***

(4)
A relaxed structure of ThTiAlGa2, computed with PBE.

Geometry as POSCAR:
```
ThTiAlGa2
1.0
4.1523 0.0000 0.0000
0.0000 4.1523 0.0000
-2.0761 -2.0761 5.8367
Th Ti Al Ga
1 1 1 2
Direct
0.0000 0.0000 0.0000
0.2500 0.7500 0.5000
0.7500 0.2500 0.5000
0.6096 0.6096 0.2191
0.3904 0.3904 0.7809
```

Properties
Energy relative to the elements: -0.471 eV/atom
Calculated total energy: -5.493 eV/atom

***

(5)
A relaxed structure of Tm2Th2AlGa4, computed with PBE.

Geometry as POSCAR:
```
Tm2Th2AlGa4
1.0
6.7478 0.0615 0.0887
-3.1851 5.9491 -0.0887
-3.1851 -2.1732 5.5387
Tm Th Al Ga
2 2 1 4
Direct
0.5000 0.7500 0.2500
0.5000 0.2500 0.7500
0.0000 0.6939 0.6939
0.0000 0.3061 0.3061
0.0000 0.0000 0.0000
0.0000 0.7510 0.2490
0.5021 0.7510 0.7510
0.0000 0.2490 0.7510
0.4979 0.2490 0.2490
```

Properties
Energy relative to the elements: -0.129 eV/atom
Calculated total energy: -4.532 eV/atom

***

(6)
A relaxed structure of Tm2ThAl2Ga2, computed with PBE.

Geometry as POSCAR:
```
Tm2ThAl2Ga2
1.0
4.4135 0.0000 0.0000
2.2067 3.8222 0.0000
2.2067 1.2741 9.6437
Tm Th Al Ga
2 1 2 2
Direct
0.1295 0.1295 0.6114
0.8705 0.8705 0.3886
0.0000 0.0000 0.0000
0.6017 0.6017 0.1949
0.3983 0.3983 0.8051
0.7473 0.7473 0.7581
0.2527 0.2527 0.2419
```

Properties
Energy relative to the elements: -0.357 eV/atom
Calculated total energy: -4.629 eV/atom

***

(7)
A relaxed structure of TmThAlGa, computed with PBE.

Geometry as POSCAR:
```
TmThAlGa
1.0
-3.4764 1.8880 3.2906
1.0883 0.2626 5.0224
0.7830 4.5721 2.2273
Tm Ga Th Al
1 1 1 1
Direct
0.5000 0.5000 0.5000
0.7500 0.7500 0.7500
0.0000 0.0000 0.0000
0.2500 0.2500 0.2500
```

Properties
Energy relative to the elements: -0.364 eV/atom
Calculated total energy: -5.029 eV/atom

***

(8)
A relaxed structure of TmThAl2Ga2, computed with PBE.

Geometry as POSCAR:
```
TmThAl2Ga2
1.0
4.2813 0.0000 0.0000
-2.1407 3.7077 0.0000
0.0000 0.0000 8.2377
Tm Th Al Ga
1 1 2 2
Direct
0.0000 0.0000 0.5000
0.0000 0.0000 0.0000
0.6667 0.3333 0.2572
0.3333 0.6667 0.7428
0.6667 0.3333 0.7338
0.3333 0.6667 0.2662
```

Properties
Energy relative to the elements: -0.532 eV/atom
Calculated total energy: -4.771 eV/atom

***

(9)
A relaxed structure of YThAlGa, computed with PBE.

Geometry as POSCAR:
```
YThAlGa
1.0
5.1838 0.0000 0.0000
2.5919 4.4893 0.0000
2.5919 1.4964 4.2326
Y Ga Th Al
1 1 1 1
Direct
0.7500 0.7500 0.7500
0.0000 0.0000 0.0000
0.2500 0.2500 0.2500
0.5000 0.5000 0.5000
```

Properties
Energy relative to the elements: -0.373 eV/atom
Calculated total energy: -5.536 eV/atom

***

(10)
A relaxed structure of Th3AlZn6Ga2, computed with PBE.

Geometry as POSCAR:
```
Th3AlZn6Ga2
1.0
-4.2683 3.0531 2.8989
0.3145 -5.9624 0.5431
5.0270 0.8572 6.4991
Th Al Zn Ga
3 1 6 2
Direct
0.3333 0.6667 0.6266
0.6667 0.3333 0.3734
0.0000 0.0000 0.0000
0.0000 0.0000 0.5000
0.6269 0.8134 0.2850
0.1866 0.3731 0.2850
0.1866 0.8134 0.2850
0.8134 0.6269 0.7150
0.3731 0.1866 0.7150
0.8134 0.1866 0.7150
0.6667 0.3333 0.9913
0.3333 0.6667 0.0087
```

Properties
Energy relative to the elements: -0.104 eV/atom
Calculated total energy: -3.413 eV/atom

***

(11)
A relaxed structure of Th2Al3Zn4Ga, computed with PBE.

Geometry as POSCAR:
```
Th2Al3Zn4Ga
1.0
-3.3833 -1.5473 -2.1221
2.2239 0.1529 -3.6571
3.4411 -9.8303 1.6815
Th Al Zn Ga
2 3 4 1
Direct
0.5000 0.0000 0.2483
0.0000 0.5000 0.7517
0.0000 0.0000 0.5000
0.5000 0.0000 0.8685
0.0000 0.5000 0.1315
0.5000 0.5000 0.0000
0.0000 0.0000 0.0000
0.5000 0.0000 0.6361
0.0000 0.5000 0.3639
0.5000 0.5000 0.5000
```

Properties
Energy relative to the elements: -0.363 eV/atom
Calculated total energy: -3.782 eV/atom

***

(12)
A relaxed structure of Th2AlZn4Ga3, computed with PBE.

Geometry as POSCAR:
```
Th2AlZn4Ga3
1.0
4.2605 0.0000 0.0000
0.0000 4.2605 0.0000
0.0000 0.0000 10.5682
Th Al Zn Ga
2 1 4 3
Direct
0.5000 0.0000 0.2483
0.0000 0.5000 0.7517
0.5000 0.5000 0.5000
0.5000 0.5000 0.0000
0.0000 0.0000 0.0000
0.5000 0.0000 0.6351
0.0000 0.5000 0.3649
0.0000 0.0000 0.5000
0.5000 0.0000 0.8655
0.0000 0.5000 0.1345
```

Properties
Energy relative to the elements: -0.404 eV/atom
Calculated total energy: -3.680 eV/atom

***

(13)
A relaxed structure of Th2Al4Zn3Ga, computed with PBE.

Geometry as POSCAR:
```
Th2Al4Zn3Ga
1.0
4.2950 0.0000 0.0000
0.0000 4.2950 0.0000
0.0000 0.0000 10.5834
Th Al Zn Ga
2 4 3 1
Direct
0.5000 0.0000 0.2524
0.0000 0.5000 0.7476
0.5000 0.5000 0.0000
0.0000 0.0000 0.0000
0.5000 0.0000 0.6344
0.0000 0.5000 0.3656
0.0000 0.0000 0.5000
0.5000 0.0000 0.8654
0.0000 0.5000 0.1346
0.5000 0.5000 0.5000
```

Properties
Energy relative to the elements: -0.352 eV/atom
Calculated total energy: -4.018 eV/atom

***

(14)
A relaxed structure of Ti2AlGa3, computed with PBE.

Geometry as POSCAR:
```
Ti2AlGa3
1.0
3.9020 0.0000 0.0000
-1.9510 6.0033 0.0886
0.0000 -2.1480 8.6791
Ti Al Ga
4 2 6
Direct
0.5587 0.1174 0.8744
0.4413 0.8826 0.1256
0.7620 0.5241 0.1183
0.2380 0.4759 0.8817
0.8976 0.7953 0.8927
0.1024 0.2047 0.1073
0.3546 0.7092 0.6399
0.0282 0.0565 0.6474
0.6927 0.3855 0.6535
0.3073 0.6145 0.3465
0.9718 0.9435 0.3526
0.6454 0.2908 0.3601
```

Properties
Energy relative to the elements: -0.286 eV/atom
ΔE to the lowest computed polymorph: 0.150 eV per atom
Calculated total energy: -5.055 eV/atom

***

(15)
A relaxed structure of Ti2Al3Ga2, computed with PBE.

Geometry as POSCAR:
```
Ti2Al3Ga2
1.0
-1.1588 2.8954 -2.0707
-3.9992 -2.5243 2.0922
1.5804 4.0540 4.7840
Ti Al Ga
2 3 2
Direct
0.1348 0.2697 0.4273
0.8652 0.7303 0.5727
0.2947 0.5894 0.8482
0.0000 0.0000 0.0000
0.7053 0.4106 0.1518
0.5848 0.1697 0.7155
0.4152 0.8303 0.2845
```

Properties
Energy relative to the elements: -0.265 eV/atom
Calculated total energy: -4.989 eV/atom

***

(16)
A relaxed structure of Ti2Al2Ga, computed with PBE.

Geometry as POSCAR:
```
Ti2Al2Ga
1.0
6.5711 0.0000 0.0000
0.0000 6.5711 0.0000
0.0000 0.0000 3.8548
Al Ga Ti
4 2 4
Direct
0.3674 0.8674 0.0000
0.8674 0.6326 0.0000
0.6326 0.1326 0.0000
0.1326 0.3674 0.0000
0.0000 0.0000 0.0000
0.5000 0.5000 0.0000
0.1693 0.6693 0.5000
0.6693 0.8307 0.5000
0.8307 0.3307 0.5000
0.3307 0.1693 0.5000
```

Properties
Energy relative to the elements: -0.226 eV/atom
ΔE to the lowest computed polymorph: 0.110 eV per atom
Calculated total energy: -5.486 eV/atom

***

(17)
A relaxed structure of Ti2Al15Ga2, computed with PBE.

Geometry as POSCAR:
```
Ti2Al15Ga2
1.0
6.8212 -0.6121 1.6407
1.1482 6.7517 1.6407
-0.7946 -0.6121 6.9706
Ti Al Ga
2 15 2
Direct
0.8984 0.8984 0.8984
0.1016 0.1016 0.1016
0.0000 0.5000 0.0000
0.0000 0.0000 0.5000
0.5000 0.0000 0.0000
0.2840 0.0000 0.7160
0.7160 0.2840 0.0000
0.0000 0.7160 0.2840
0.2840 0.7160 0.0000
0.0000 0.2840 0.7160
0.7160 0.0000 0.2840
0.3600 0.8493 0.3600
0.3600 0.3600 0.8493
0.8493 0.3600 0.3600
0.6400 0.1507 0.6400
0.6400 0.6400 0.1507
0.1507 0.6400 0.6400
0.6819 0.6819 0.6819
0.3181 0.3181 0.3181
```

Properties
Energy relative to the elements: -0.011 eV/atom
Calculated total energy: -4.115 eV/atom

***

(18)
A relaxed structure of Ti3AlGa, computed with PBE.

Geometry as POSCAR:
```
Ti3AlGa
1.0
4.9949 0.0000 0.0000
0.0000 6.4415 0.0000
0.0000 -3.2190 5.5795
Ti Al Ga
6 2 2
Direct
0.2500 0.8029 0.1971
0.7500 0.1971 0.8029
0.2500 0.8027 0.6060
0.7500 0.1973 0.3940
0.2500 0.3940 0.1973
0.7500 0.6060 0.8027
0.0000 0.0000 0.0000
0.5000 0.0000 0.0000
0.2500 0.3334 0.6666
0.7500 0.6666 0.3334
```

Properties
Energy relative to the elements: 0.132 eV/atom
ΔE to the lowest computed polymorph: 0.188 eV per atom
Calculated total energy: -5.959 eV/atom

***

(19)
A relaxed structure of Ti3Al2Ga2, computed with PBE.

Geometry as POSCAR:
```
Ti3Al2Ga2
1.0
-0.6775 2.7812 -3.1066
-1.8534 -1.9473 -1.3392
-5.5931 2.9867 6.7657
Ti Al Ga
3 2 2
Direct
0.0000 0.0000 0.0000
0.7017 0.2017 0.4034
0.2983 0.7983 0.5966
0.1466 0.6466 0.2932
0.8534 0.3534 0.7068
0.5688 0.5688 0.1376
0.4312 0.4312 0.8624
```

Properties
Energy relative to the elements: -0.371 eV/atom
Calculated total energy: -5.688 eV/atom

***

(20)
A relaxed structure of Ti5Al12Ga3, computed with PBE.

Geometry as POSCAR:
```
Ti5Al12Ga3
1.0
-9.4038 -8.9820 -3.1412
9.9558 -6.0737 6.5548
-5.3223 9.4936 7.7793
Ga Ti Al
12 20 48
Direct
0.7500 0.3750 0.1250
0.8750 0.7500 0.1250
0.3750 0.7500 0.6250
0.2500 0.1250 0.3750
0.8750 0.1250 0.2500
0.3750 0.6250 0.2500
0.6250 0.3750 0.7500
0.1250 0.8750 0.7500
0.7500 0.8750 0.6250
0.6250 0.2500 0.3750
0.1250 0.2500 0.8750
0.2500 0.6250 0.8750
0.1250 0.3750 0.2500
0.0000 0.5000 0.0000
0.0000 0.0000 0.0000
0.3750 0.2500 0.1250
0.5000 0.0000 0.5000
0.5000 0.5000 0.0000
0.1250 0.7500 0.3750
0.7500 0.1250 0.8750
0.7500 0.6250 0.3750
0.3750 0.1250 0.7500
0.6250 0.8750 0.2500
0.5000 0.5000 0.5000
0.5000 0.0000 0.0000
0.0000 0.0000 0.5000
0.2500 0.3750 0.6250
0.2500 0.8750 0.1250
0.0000 0.5000 0.5000
0.8750 0.2500 0.6250
0.6250 0.7500 0.8750
0.8750 0.6250 0.7500
0.7308 0.1409 0.0760
0.3453 0.5760 0.4351
0.9240 0.3591 0.2692
0.5760 0.2308 0.1409
0.5898 0.7308 0.6547
0.9240 0.5649 0.1547
0.3453 0.7692 0.4102
0.0649 0.9102 0.1409
0.5649 0.9240 0.6547
0.7308 0.5898 0.1547
0.7692 0.4240 0.3591
0.8453 0.9351 0.0760
0.1409 0.7308 0.5760
0.3591 0.4351 0.0898
0.0898 0.9351 0.3591
0.4102 0.1409 0.5649
0.0898 0.1547 0.2308
0.4240 0.6547 0.0649
0.8453 0.9102 0.2692
0.1409 0.4102 0.0649
0.3591 0.9240 0.7692
0.5649 0.6409 0.4102
0.9351 0.8453 0.5760
0.7692 0.3453 0.9102
0.4351 0.3591 0.5898
0.0649 0.1547 0.4240
0.2308 0.6547 0.0898
0.1547 0.0898 0.7308
0.6409 0.0760 0.2308
0.8591 0.5898 0.9351
0.5760 0.3453 0.9351
0.5898 0.8591 0.4351
0.9102 0.8453 0.7692
0.9102 0.0649 0.6409
0.8591 0.2692 0.4240
0.1547 0.0649 0.9240
0.6409 0.5649 0.9102
0.4351 0.0760 0.3453
0.2692 0.4102 0.8453
0.2308 0.5760 0.6409
0.9351 0.0898 0.8591
0.6547 0.2308 0.5898
0.4240 0.7692 0.8591
0.0760 0.4351 0.8453
0.4102 0.2692 0.3453
0.0760 0.6409 0.7308
0.6547 0.4240 0.5649
0.2692 0.8591 0.9240
```

Properties
Energy relative to the elements: 0.596 eV/atom
Calculated total energy: -4.077 eV/atom

***

D(E_F) (computed, states/eV per atom): 0.53; 0.79; 0.50; 0.79; 0.56; 0.63; 1.00; 0.50; 0.93; 0.84; 0.31; 0.32; 0.48; 0.47; 0.49; 0.63; 0.41; 0.96; 0.44; 0.79
Total magnetization (computed, Bohr magnetons per cell): 0.00; 0.00; 0.00; 0.00; 0.00; 0.00; 0.00; 0.00; 0.00; 0.00; 0.00; 0.00; 0.00; 0.00; 0.00; 0.00; 0.00; 0.00; 0.00; 24.89